! Er5Cd2Tc PBE optimized geometry; values from VASP
! Energy relative to the elements = -0.18 eV per atom
! Symmetry = Pbam (55)
! Energy = -0.1676 Ha/atom
&SYSTEM
  ibrav = 0, nat = 16, ntyp = 3
/
ATOMIC_SPECIES
Er 167.26 Er.upf
Cd 112.41 Cd.upf
Tc 98.00 Tc.upf
ATOMIC_POSITIONS crystal
Er 0.0000 0.0000 0.0000
Er 0.1267 0.2847 0.0000
Er 0.1580 0.6016 0.5000
Er 0.3420 0.1016 0.5000
Er 0.3733 0.7847 0.0000
Er 0.5000 0.5000 0.0000
Er 0.6267 0.2153 0.0000
Er 0.6580 0.8984 0.5000
Er 0.8420 0.3984 0.5000
Er 0.8733 0.7153 0.0000
Cd 0.1312 0.8610 0.5000
Cd 0.3688 0.3610 0.5000
Cd 0.6312 0.6390 0.5000
Cd 0.8688 0.1390 0.5000
Tc 0.0000 0.5000 0.0000
Tc 0.5000 0.0000 0.0000
CELL_PARAMETERS angstrom
6.5336 0.0000 0.0000
0.0000 12.2552 0.0000
0.0000 0.0000 5.0683